Entry 1:
# LuSiPb PBE-GGA optimized geometry
data_LuSiPb
_space_group_name_H-M_alt 'F -4 3 m'
_space_group_IT_number 216
_space_group_name_Hall 'F -4 2 3'
_cell_length_a 6.880
_cell_length_b 6.880
_cell_length_c 6.880
_cell_angle_alpha 90.00
_cell_angle_beta 90.00
_cell_angle_gamma 90.00
loop_
_atom_site_label
_atom_site_type_symbol
_atom_site_fract_x
_atom_site_fract_y
_atom_site_fract_z
Lu1 Lu 0.000 0.000 0.000
Si1 Si 0.250 0.250 0.250
Pb1 Pb 0.000 0.000 0.500
# spin magnetization = 0.01 μB per formula unit
# final energy = -0.167 Ha/atom

---

Entry 2:
# NdSmZnIr2 PBE-GGA optimized geometry
data_NdSmZnIr2
_space_group_name_H-M_alt 'I m m 2'
_space_group_IT_number 44
_space_group_name_Hall 'I 2 -2'
_cell_length_a 4.227
_cell_length_b 5.860
_cell_length_c 8.593
_cell_angle_alpha 90.00
_cell_angle_beta 90.00
_cell_angle_gamma 90.00
loop_
_atom_site_label
_atom_site_type_symbol
_atom_site_fract_x
_atom_site_fract_y
_atom_site_fract_z
Nd1 Nd 0.000 0.000 0.000
Sm1 Sm 0.000 0.000 0.403
Zn1 Zn 0.000 0.500 0.201
Ir1 Ir 0.000 0.266 0.702
# spin magnetization = 0.01 μB per formula unit
# final energy = -0.234 Ha/atom

---

Entry 3:
# Er3Mg3AlCd2 PBE-GGA optimized geometry
data_Er3Mg3AlCd2
_space_group_name_H-M_alt 'P -6 2 m'
_space_group_IT_number 189
_space_group_name_Hall 'P -6 -2'
_cell_length_a 7.5248
_cell_length_b 7.5248
_cell_length_c 4.4577
_cell_angle_alpha 90.00
_cell_angle_beta 90.00
_cell_angle_gamma 120.00
loop_
_atom_site_label
_atom_site_type_symbol
_atom_site_fract_x
_atom_site_fract_y
_atom_site_fract_z
Er1 Er 0.0000 0.5838 0.0000
Mg1 Mg 0.0000 0.2398 0.5000
Al1 Al 0.0000 0.0000 0.0000
Cd1 Cd 0.3333 0.6667 0.5000
# spin magnetization = 0.01 μB per formula unit
# final energy = -0.106 Ha/atom

---

Entry 4:
# YCdFeAs PBE-GGA optimized geometry
data_YCdFeAs
_space_group_name_H-M_alt 'F -4 3 m'
_space_group_IT_number 216
_space_group_name_Hall 'F -4 2 3'
_cell_length_a 6.804
_cell_length_b 6.804
_cell_length_c 6.804
_cell_angle_alpha 90.00
_cell_angle_beta 90.00
_cell_angle_gamma 90.00
loop_
_atom_site_label
_atom_site_type_symbol
_atom_site_fract_x
_atom_site_fract_y
_atom_site_fract_z
Y1 Y 0.000 0.000 0.000
Cd1 Cd 0.250 0.250 0.750
Fe1 Fe 0.000 0.000 0.500
As1 As 0.250 0.250 0.250
# spin magnetization = 2.07 μB per formula unit
# final energy = -0.189 Ha/atom

---

Entry 5:
# MgFeSn2 PBE-GGA optimized geometry
data_MgFeSn2
_space_group_name_H-M_alt 'F -4 3 m'
_space_group_IT_number 216
_space_group_name_Hall 'F -4 2 3'
_cell_length_a 6.858
_cell_length_b 6.858
_cell_length_c 6.858
_cell_angle_alpha 90.00
_cell_angle_beta 90.00
_cell_angle_gamma 90.00
loop_
_atom_site_label
_atom_site_type_symbol
_atom_site_fract_x
_atom_site_fract_y
_atom_site_fract_z
Mg1 Mg 0.000 0.000 0.000
Fe1 Fe 0.250 0.250 0.250
Sn1 Sn 0.000 0.000 0.500
Sn2 Sn 0.250 0.250 0.750
# spin magnetization = 2.17 μB per formula unit
# final energy = -0.149 Ha/atom

---

Entry 6:
# TlFeHgTe3 PBE-GGA optimized geometry
data_TlFeHgTe3
_space_group_name_H-M_alt 'P 1 21/m 1'
_space_group_IT_number 11
_space_group_name_Hall '-P 2yb'
_cell_length_a 9.160
_cell_length_b 4.012
_cell_length_c 10.857
_cell_angle_alpha 90.00
_cell_angle_beta 104.98
_cell_angle_gamma 90.00
loop_
_atom_site_label
_atom_site_type_symbol
_atom_site_fract_x
_atom_site_fract_y
_atom_site_fract_z
Tl1 Tl 0.241 0.250 0.272
Fe1 Fe 0.062 0.250 0.575
Hg1 Hg 0.315 0.750 0.906
Te1 Te 0.071 0.250 0.814
Te2 Te 0.224 0.750 0.532
Te3 Te 0.473 0.750 0.172
# spin magnetization = 2.85 μB per formula unit
# final energy = -0.126 Ha/atom

---

Entry 7:
# NdMg PBE-GGA optimized geometry
data_NdMg
_space_group_name_H-M_alt 'F -4 3 m'
_space_group_IT_number 216
_space_group_name_Hall 'F -4 2 3'
_cell_length_a 7.165
_cell_length_b 7.165
_cell_length_c 7.165
_cell_angle_alpha 90.00
_cell_angle_beta 90.00
_cell_angle_gamma 90.00
loop_
_atom_site_label
_atom_site_type_symbol
_atom_site_fract_x
_atom_site_fract_y
_atom_site_fract_z
Nd1 Nd 0.000 0.000 0.000
Mg1 Mg 0.250 0.250 0.250
# spin magnetization = 0.14 μB per formula unit
# final energy = -0.073 Ha/atom

---

Entry 8:
# DyZr PBE-GGA optimized geometry
data_DyZr
_space_group_name_H-M_alt 'P 1 21/m 1'
_space_group_IT_number 11
_space_group_name_Hall '-P 2yb'
_cell_length_a 6.770
_cell_length_b 5.374
_cell_length_c 9.051
_cell_angle_alpha 90.00
_cell_angle_beta 100.86
_cell_angle_gamma 90.00
loop_
_atom_site_label
_atom_site_type_symbol
_atom_site_fract_x
_atom_site_fract_y
_atom_site_fract_z
Dy1 Dy 0.024 0.250 0.118
Dy2 Dy 0.309 0.750 0.240
Dy3 Dy 0.466 0.750 0.880
Zr1 Zr 0.130 0.750 0.552
Zr2 Zr 0.187 0.250 0.755
Zr3 Zr 0.355 0.250 0.457
# spin magnetization = 0.00 μB per formula unit
# final energy = -0.239 Ha/atom